DFT (GGA-PBE) results for a relaxed ZrTeCl2 crystal.

## Properties
Polymorph energy (0 for the lowest one) (eV per atom): 0.957
DOS(E_F) (states/eV/atom): 0.8846
V (Å³/cell): 88
Space-group type: Pmmm
Crystal system: orthorhombic

```
ZrTeCl2
1.0
3.404 0.000 0.000
0.000 5.326 0.000
0.000 0.000 4.851
Te Zr Cl
1 1 2
direct
0.500 0.000 0.500
0.000 0.500 0.500
0.000 0.000 0.000
0.500 0.500 0.000
```